This record from the Alexandria database describes Ac2In12Ga after structural relaxation. The functional is PBE.

The structure belongs to space group P4/nbm (No. 125, origin choice 2); the cell edges are 7.097, 7.097 and 17.133 Å and the angles 90.00°, 90.00° and 90.00°. The inequivalent atoms are Ac at (0.250, 0.750, 0.244), In at (0.001, 0.501, 0.088), In at (0.085, 0.585, 0.571), In at (0.250, 0.250, 0.181), In at (0.250, 0.250, 0.344) and Ga at (0.250, 0.750, 0.000).

The value obtained for the volume is 863 Å³/cell. The formation enthalpy at 0 K comes out at -0.170 eV per atom. The theoretical density is 7.32 Mg/m³. As for the magnetization: 0.000 μB/f.u.